MoAuSe2: optimized geometry, PBE.

For the volume, the calculation gives 83.7 Å³/cell. The density of states at the Fermi level comes out at 1.4 states/eV per cell. The energy above the most stable polymorph in this dataset comes out at 239.2 meV/atom.

```
MoAuSe2
1.0
2.977 0.000 0.000
0.000 2.977 0.000
0.000 0.000 9.448
Mo Au Se
1 1 2
direct
0.000 0.000 0.000
0.500 0.500 0.791
0.000 0.000 0.555
0.500 0.500 0.163
```

---

DyMgPb2: optimized geometry, PBE.

For the volume, the calculation gives 106.8 Å³/cell. The density of states at the Fermi level comes out at 2.7 states/eV per cell. For the formation energy, the calculation gives -30.94 kJ per mole of atoms.

```
DyMgPb2
1.0
4.906 0.000 0.000
0.000 4.906 0.000
0.000 0.000 4.436
Dy Mg Pb
1 1 2
direct
0.000 0.000 0.000
0.500 0.500 0.000
0.000 0.500 0.500
0.500 0.000 0.500
```

---

NdLuMgTl: optimized geometry, PBE.

For the volume, the calculation gives 110.1 Å³/cell. The density of states at the Fermi level comes out at 3.2 states/eV per cell. For the formation energy, the calculation gives -20.83 kJ per mole of atoms.

```
NdLuMgTl
1.0
0.000 3.804 3.804
3.804 0.000 3.804
3.804 3.804 0.000
Nd Lu Mg Tl
1 1 1 1
direct
0.000 0.000 0.000
0.500 0.500 0.500
0.250 0.250 0.250
0.750 0.750 0.750
```

---

KBeSi2: optimized geometry, PBE.

For the total energy, the calculation gives -0.1232 hartree per atom. For the volume, the calculation gives 100.6 Å³/cell. The density of states at the Fermi level comes out at 2.1 states/eV per cell.

```
KBeSi2
1.0
-1.904 3.298 4.002
1.904 -3.298 4.002
1.904 3.298 -4.002
K Be Si
1 1 2
direct
0.000 0.000 0.000
0.648 0.148 0.500
0.353 0.853 0.500
0.538 0.538 0.000
```